NdAlGe: single point on PBEsol structure, meta-GGA SCAN.

Values from the calculation:
The value obtained for the density of states at the Fermi level is 0.06 states/eV/atom. As for the crystal system: tetragonal. The space-group type is No. 109. The density is 6.243 g/cm3. As for the energy of formation: -765 meV/atom.

Unit cell a=4.2104 b=4.2109 c=7.8994 alpha=105.45 beta=105.45 gamma=89.99
Closest atoms and distances in Å follow each position.
Atoms (fractional coordinates):
Al 0.6674 0.6675 0.3347  3 Ge 2.43-2.44
Al 0.9175 0.4173 0.8347  3 Ge 2.43-2.44
Nd 0.5015 0.0015 0.0030  6 Ge 3.21-3.24, 6 Al 3.21-3.22
Nd 0.2515 0.2514 0.5030  6 Ge 3.21-3.24, 6 Al 3.21-3.22
Ge 0.0832 0.5831 0.1664  3 Al 2.43-2.44
Ge 0.8329 0.8332 0.6665  3 Al 2.43-2.44